Here is Rb2CO3 at its PBEsol-relaxed geometry from Alexandria via LeMat-Bulk. Energies are from SCAN.

Results
Total magnetic moment (Bohr magnetons per cell): 0.0
Crystal system: monoclinic
Uncorrected formation energy (eV per atom): -1.901
Fermi-level density of states (states/eV/f.u.): 0.0
V (Å³/atom): 17.94

abc: 5.847 7.436 9.983
angles: 90.00 90.00 97.34
Positions (direct):
1 C 0.250 0.262 0.583
2 C 0.750 0.738 0.417
3 C 0.250 0.762 0.917
4 C 0.750 0.238 0.083
5 O 0.933 0.219 0.154
6 O 0.578 0.806 0.363
7 O 0.933 0.719 0.346
8 O 0.422 0.694 0.863
9 O 0.067 0.281 0.654
10 O 0.261 0.315 0.459
11 O 0.422 0.194 0.637
12 O 0.578 0.306 0.137
13 O 0.261 0.815 0.041
14 O 0.739 0.685 0.541
15 O 0.739 0.185 0.959
16 O 0.067 0.781 0.846
17 Rb 0.240 0.683 0.582
18 Rb 0.760 0.317 0.418
19 Rb 0.760 0.817 0.082
20 Rb 0.740 0.976 0.725
21 Rb 0.240 0.183 0.918
22 Rb 0.260 0.524 0.225
23 Rb 0.260 0.024 0.275
24 Rb 0.740 0.476 0.775